Entry 1:
Computed, not measured: a geometry-optimized Ba2Sr4Pd structure at the PBE-GGA level of DFT.

abc: 7.8738 4.2293 11.2546
angles: 90.00 105.82 90.00
Fractional positions:
Ba: 0.2464 0.0000 0.4940
Ba: 0.7536 0.0000 0.5060
Sr: 0.1295 0.5000 0.8223
Sr: 0.3747 0.0000 0.1488
Sr: 0.6253 0.0000 0.8512
Sr: 0.8705 0.5000 0.1777
Pd: 0.5000 0.5000 0.0000

Calculated values
Spin magnetization   0.000 μB/cell
Calculated density   3.37 g/cm³
Final energy   -16.8 eV per cell

---

Entry 2:
Computed, not measured: a geometry-optimized Ba7SrPd3 structure at the PBE-GGA level of DFT.

abc: 8.7923 8.7923 10.9011
angles: 125.80 125.80 62.98
Fractional positions:
Ba: 0.0000 0.0000 0.0000
Ba: 0.0629 0.5758 0.1694
Ba: 0.5010 0.5010 0.0057
Ba: 0.5073 0.9970 0.5103
Ba: 0.5733 0.5733 0.6776
Ba: 0.5758 0.0629 0.1694
Ba: 0.9970 0.5073 0.5103
Sr: 0.0607 0.0607 0.6705
Pd: 0.2850 0.7870 0.8378
Pd: 0.7863 0.7863 0.3411
Pd: 0.7870 0.2850 0.8378

Calculated values
Spin magnetization   0.000 μB/cell
Calculated density   4.16 g/cm³
Final energy   -34.7 eV per cell

---

Entry 3:
Computed, not measured: a geometry-optimized Ba3SrPd structure at the PBE-GGA level of DFT.

abc: 6.4115 6.4115 6.4115
angles: 90.00 90.00 90.00
Fractional positions:
Ba: 0.0000 0.0000 0.5000
Ba: 0.0000 0.5000 0.0000
Ba: 0.5000 0.0000 0.0000
Sr: 0.5000 0.5000 0.5000
Pd: 0.0000 0.0000 0.0000

Calculated values
Spin magnetization   0.000 μB/cell
Calculated density   3.82 g/cm³
Final energy   -13.9 eV per cell

---

Entry 4:
Computed, not measured: a geometry-optimized Ba2SrPd structure at the PBE-GGA level of DFT.

abc: 7.6213 7.6213 10.9401
angles: 90.00 90.00 146.19
Fractional positions:
Ba: 0.1448 0.8552 0.5709
Ba: 0.1448 0.8552 0.9291
Ba: 0.8552 0.1448 0.0709
Ba: 0.8552 0.1448 0.4291
Sr: 0.4069 0.5931 0.7500
Sr: 0.5931 0.4069 0.2500
Pd: 0.2414 0.7586 0.2500
Pd: 0.7586 0.2414 0.7500

Calculated values
Spin magnetization   0.000 μB/cell
Calculated density   4.40 g/cm³
Final energy   -24.0 eV per cell

---

Entry 5:
Computed, not measured: a geometry-optimized Ba2Sr8Pd structure at the PBE-GGA level of DFT.

abc: 7.4944 7.5030 11.4613
angles: 71.23 83.45 70.77
Fractional positions:
Ba: 0.2497 0.0521 0.3966
Ba: 0.7503 0.9479 0.6034
Sr: 0.2506 0.4482 0.6014
Sr: 0.2517 0.6499 0.1976
Sr: 0.2533 0.2547 0.9964
Sr: 0.2531 0.8436 0.8054
Sr: 0.7469 0.1564 0.1946
Sr: 0.7467 0.7453 0.0036
Sr: 0.7483 0.3501 0.8024
Sr: 0.7494 0.5518 0.3986
Pd: 0.5000 0.5000 0.0000

Calculated values
Spin magnetization   0.000 μB/cell
Calculated density   3.12 g/cm³
Final energy   -24.1 eV per cell

---

Entry 6:
Computed, not measured: a geometry-optimized Ba6Sr3Pd structure at the PBE-GGA level of DFT.

abc: 10.6713 10.6713 10.6713
angles: 77.71 77.71 77.71
Fractional positions:
Ba: 0.1367 0.8068 0.8068
Ba: 0.1932 0.1932 0.8633
Ba: 0.1932 0.8633 0.1932
Ba: 0.1957 0.5254 0.5254
Ba: 0.4746 0.4746 0.8043
Ba: 0.4746 0.8043 0.4746
Ba: 0.5254 0.1957 0.5254
Ba: 0.5254 0.5254 0.1957
Ba: 0.8043 0.4746 0.4746
Ba: 0.8068 0.1367 0.8068
Ba: 0.8068 0.8068 0.1367
Ba: 0.8633 0.1932 0.1932
Sr: 0.1388 0.1388 0.4660
Sr: 0.1388 0.4660 0.1388
Sr: 0.4660 0.1388 0.1388
Sr: 0.5340 0.8612 0.8612
Sr: 0.8612 0.5340 0.8612
Sr: 0.8612 0.8612 0.5340
Pd: 0.0000 0.0000 0.0000
Pd: 0.5000 0.5000 0.5000

Calculated values
Spin magnetization   0.001 μB/cell
Calculated density   3.47 g/cm³
Final energy   -46.1 eV per cell

---

Entry 7:
Computed, not measured: a geometry-optimized Ba2Sr3Pd2 structure at the PBE-GGA level of DFT.

abc: 7.3432 7.3432 10.1236
angles: 114.50 114.50 34.70
Fractional positions:
Ba: 0.1709 0.1709 0.2994
Ba: 0.8291 0.8291 0.7006
Sr: 0.3748 0.3748 0.0750
Sr: 0.5000 0.5000 0.5000
Sr: 0.6252 0.6252 0.9250
Pd: 0.1724 0.1724 0.7375
Pd: 0.8276 0.8276 0.2625

Calculated values
Spin magnetization   0.000 μB/cell
Calculated density   4.45 g/cm³
Final energy   -22.0 eV per cell

---

Entry 8:
Computed, not measured: a geometry-optimized Ba2SrPd structure at the PBE-GGA level of DFT.

abc: 11.3706 11.3706 11.3706
angles: 23.08 23.08 23.08
Fractional positions:
Ba: 0.0000 0.0000 0.0000
Ba: 0.2257 0.2257 0.2257
Sr: 0.4465 0.4465 0.4465
Pd: 0.6127 0.6127 0.6127

Calculated values
Spin magnetization   0.000 μB/cell
Calculated density   3.92 g/cm³
Final energy   -11.9 eV per cell

---

> Number 8 is which compound?

Ba2SrPd

---

> Which of these has the lowest final energy?

Ba6Sr3Pd

---

What did the second record say?
Computed, not measured: a geometry-optimized Ba7SrPd3 structure at the PBE-GGA level of DFT.

abc: 8.7923 8.7923 10.9011
angles: 125.80 125.80 62.98
Fractional positions:
Ba: 0.0000 0.0000 0.0000
Ba: 0.0629 0.5758 0.1694
Ba: 0.5010 0.5010 0.0057
Ba: 0.5073 0.9970 0.5103
Ba: 0.5733 0.5733 0.6776
Ba: 0.5758 0.0629 0.1694
Ba: 0.9970 0.5073 0.5103
Sr: 0.0607 0.0607 0.6705
Pd: 0.2850 0.7870 0.8378
Pd: 0.7863 0.7863 0.3411
Pd: 0.7870 0.2850 0.8378

Calculated values
Spin magnetization   0.000 μB/cell
Calculated density   4.16 g/cm³
Final energy   -34.7 eV per cell